1.
BaTcTe2: optimized geometry, PBE.

Properties
The calculation puts the final energy at -19.6 eV per cell.

Cell and atoms, written as extended XYZ:
```
4
Lattice="-1.856 2.026 7.671 1.856 -2.026 7.671 1.856 2.026 -7.671" Properties=species:S:1:pos:R:3 pbc="T T T"
Ba 0.000 0.000 0.000
Tc 0.000 2.026 3.934
Te 1.856 0.000 4.929
Te 0.000 0.000 9.661
```

---

2.
Li3VBr: optimized geometry, PBE.

Properties
The calculation puts the final energy at -13.5 eV per cell.

Cell and atoms, written as extended XYZ:
```
5
Lattice="5.206 0.000 0.000 0.000 5.206 0.000 0.000 0.000 5.206" Properties=species:S:1:pos:R:3 pbc="T T T"
Li 0.000 0.000 2.603
Li 0.000 2.603 0.000
Li 2.603 0.000 0.000
V 0.000 0.000 0.000
Br 2.603 2.603 2.603
```

---

3.
SrCdCl2: optimized geometry, PBE.

Properties
The calculation puts the final energy at -13.0 eV per cell.

Cell and atoms, written as extended XYZ:
```
4
Lattice="2.206 1.274 10.061 -2.206 1.274 10.061 0.000 -2.547 10.061" Properties=species:S:1:pos:R:3 pbc="T T T"
Sr 0.000 0.000 0.000
Cd 0.000 0.000 15.091
Cl 0.000 0.000 8.639
Cl 0.000 0.000 21.543
```

---

4.
CsGeSb: optimized geometry, PBE.

Properties
The calculation puts the final energy at -20.1 eV per cell.

Cell and atoms, written as extended XYZ:
```
6
Lattice="4.181 0.000 0.000 0.011 6.771 0.000 2.086 1.308 7.913" Properties=species:S:1:pos:R:3 pbc="T T T"
Cs 1.045 3.149 2.035
Cs 5.232 4.930 5.879
Ge 3.142 7.487 7.472
Ge 3.135 0.593 0.442
Sb 3.137 1.699 4.909
Sb 3.140 6.380 3.004
```

---

5.
Pr2NdY3: optimized geometry, PBE.

Properties
As for the energy relative to the elements: 61.3 meV/atom.

Cell and atoms, written as extended XYZ:
```
12
Lattice="4.553 -5.004 0.000 4.553 5.004 0.000 -1.792 0.000 8.946" Properties=species:S:1:pos:R:3 pbc="T T T"
Pr 1.861 2.523 7.818
Pr 4.556 2.523 5.601
Pr 2.757 -2.523 3.345
Pr 5.452 -2.523 1.128
Nd 4.105 0.856 2.236
Nd 3.208 -0.856 6.709
Y 4.105 4.179 2.236
Y 1.395 0.831 4.481
Y 2.292 -0.831 0.008
Y 5.021 0.831 8.937
Y 5.917 -0.831 4.464
Y 3.208 -4.179 6.709
```

---

6.
La12PmSm3: optimized geometry, PBE.

Properties
As for the energy relative to the elements: 7.4 meV/atom.

Cell and atoms, written as extended XYZ:
```
16
Lattice="5.235 0.000 0.000 0.000 5.235 0.000 0.000 0.000 20.945" Properties=species:S:1:pos:R:3 pbc="T T T"
La 0.000 0.000 0.000
La 0.000 0.000 5.234
La 0.000 0.000 10.472
La 0.000 0.000 15.711
La 0.000 2.617 2.620
La 0.000 2.617 7.853
La 0.000 2.617 13.092
La 0.000 2.617 18.325
La 2.617 0.000 2.620
La 2.617 0.000 7.853
La 2.617 0.000 13.092
La 2.617 0.000 18.325
Pm 2.617 2.617 0.000
Sm 2.617 2.617 5.235
Sm 2.617 2.617 10.472
Sm 2.617 2.617 15.710
```